First-principles (PBE-GGA) data for a relaxed structure of TbDyRuRh, as listed in Alexandria.

Cell: 3.4106 4.8359 4.8398 Å, 90.00 90.00 90.00°
Closest atoms and distances in Å follow each position.
Space group Pmmm (No. 47)
Inequivalent atoms, fractional coordinates:
1 Tb 0.0000 0.0000 0.0000 [1 per cell]  4 Ru 2.96, 4 Rh 2.96
2 Dy 0.0000 0.5000 0.5000 [1 per cell]  4 Rh 2.96, 4 Ru 2.96
3 Ru 0.5000 0.5000 0.0000 [1 per cell]  4 Tb 2.96, 4 Dy 2.96
4 Rh 0.5000 0.0000 0.5000 [1 per cell]  4 Dy 2.96, 4 Tb 2.96

total energy	-7.073	eV per atom
ΔH_f (0 K)	-0.608	eV/atom